The following is a DFT calculation (PBE-GGA) of Ce8TlRu6 after structural relaxation.

a = 3.944 Å, b = 10.244 Å, c = 10.244 Å
α = 120.00°, β = 90.00°, γ = 90.00°
Each line ends with the local moment (μB).
Positions (direct):
Ru1 0.252 0.623 0.089  -0.01
Ru2 0.748 0.534 0.623  -0.01
Ru3 0.748 0.377 0.911  -0.01
Ru4 0.252 0.911 0.534  -0.01
Ru5 0.748 0.089 0.466  -0.01
Ru6 0.252 0.466 0.377  -0.01
Ce1 0.763 0.049 0.722  0.03
Ce2 0.237 0.722 0.673  0.03
Ce3 0.745 0.667 0.333  0.22
Ce4 0.255 0.333 0.667  0.22
Ce5 0.237 0.951 0.278  0.03
Ce6 0.763 0.278 0.327  0.03
Ce7 0.237 0.327 0.049  0.03
Ce8 0.763 0.673 0.951  0.03
Tl1 0.500 0.000 0.000  0.00

Output
SG	P-3

=====

The following is a DFT calculation (PBE-GGA) of CsFe3Rh after structural relaxation.

a = 4.647 Å, b = 4.647 Å, c = 4.647 Å
α = 90.00°, β = 90.00°, γ = 90.00°
Each line ends with the local moment (μB).
Positions (direct):
Fe1 0.000 0.000 0.500  2.07
Fe2 0.000 0.500 0.000  2.27
Fe3 0.500 0.000 0.000  2.33
Cs1 0.000 0.000 0.000  -0.10
Rh1 0.500 0.500 0.500  0.57

Output
SG	Pm-3m

=====

The following is a DFT calculation (PBE-GGA) of GdErScIr after structural relaxation.

a = 5.028 Å, b = 5.028 Å, c = 5.028 Å
α = 60.00°, β = 60.00°, γ = 60.00°
Each line ends with the local moment (μB).
Positions (direct):
Ir1 0.750 0.750 0.750  -0.08
Er1 0.000 0.000 0.000  0.06
Sc1 0.250 0.250 0.250  0.15
Gd1 0.500 0.500 0.500  7.07

Output
SG	F-43m

=====

The following is a DFT calculation (PBE-GGA) of GaCoHPd2 after structural relaxation.

a = 3.944 Å, b = 3.748 Å, c = 3.944 Å
α = 90.00°, β = 90.00°, γ = 90.00°
Each line ends with the local moment (μB).
Positions (direct):
Pd1 0.500 0.000 0.000  0.02
Pd2 0.000 0.000 0.500  0.05
Ga1 0.500 0.500 0.500  -0.04
Co1 0.000 0.500 0.000  1.07
H1 0.000 0.000 0.000  -0.01

Output
SG	P4/mmm

=====

The following is a DFT calculation (PBE-GGA) of NaCr4Se8 after structural relaxation.

a = 7.043 Å, b = 7.043 Å, c = 8.511 Å
α = 65.56°, β = 65.56°, γ = 60.00°
Each line ends with the local moment (μB).
Positions (direct):
Se1 0.232 0.232 0.804  -0.17
Se2 0.768 0.768 0.196  -0.17
Se3 0.267 0.768 0.196  -0.17
Se4 0.268 0.268 0.196  -0.20
Se5 0.768 0.267 0.196  -0.17
Se6 0.732 0.732 0.804  -0.20
Se7 0.232 0.733 0.804  -0.17
Se8 0.733 0.232 0.804  -0.17
Cr1 0.500 0.500 0.000  2.67
Cr2 0.000 0.000 0.000  2.68
Cr3 0.500 0.000 0.000  2.67
Cr4 0.000 0.500 0.000  2.67
Na1 0.500 0.500 0.500  0.00

Output
SG	R-3m
energy relative to the elements, uncorrected	-0.57	eV per atom

=====

The following is a DFT calculation (PBE-GGA) of YMgMn after structural relaxation.

a = 6.294 Å, b = 6.294 Å, c = 3.413 Å
α = 74.27°, β = 74.27°, γ = 31.46°
Each line ends with the local moment (μB).
Positions (direct):
Mg1 0.975 0.975 0.025  -0.02
Y1 0.684 0.684 0.316  -0.29
Mn1 0.341 0.341 0.659  3.47

Output
SG	I4mm

=====

The following is a DFT calculation (PBE-GGA) of ZrZnRuRh after structural relaxation.

a = 4.466 Å, b = 4.466 Å, c = 4.466 Å
α = 60.00°, β = 60.00°, γ = 60.00°
Positions (direct):
Zn1 0.000 0.000 0.000
Ru1 0.750 0.750 0.750
Zr1 0.500 0.500 0.500
Rh1 0.250 0.250 0.250

Output
SG	F-43m
energy above the most stable polymorph in this dataset	12.5	meV per atom

=====

The following is a DFT calculation (PBE-GGA) of Li2SiAs2 after structural relaxation.

a = 3.532 Å, b = 6.691 Å, c = 8.402 Å
α = 90.00°, β = 90.00°, γ = 105.30°
Positions (direct):
As1 0.724 0.448 0.647
As2 0.000 0.000 0.897
As3 0.000 0.000 0.397
As4 0.276 0.552 0.147
Li1 0.347 0.693 0.453
Li2 0.347 0.693 0.841
Li3 0.653 0.307 0.341
Li4 0.653 0.307 0.953
Si1 0.901 0.803 0.147
Si2 0.099 0.197 0.647

Output
SG	Cmcm
energy relative to the elements, uncorrected	-0.30	eV per atom
energy above the most stable polymorph in this dataset	0.0	meV per atom

=====

The following is a DFT calculation (PBE-GGA) of Na2In3Pb after structural relaxation.

a = 3.396 Å, b = 5.284 Å, c = 9.248 Å
α = 90.00°, β = 90.00°, γ = 90.00°
Positions (direct):
Pb1 0.500 0.500 0.336
In1 0.500 0.000 0.832
In2 0.500 0.500 0.676
In3 0.500 0.000 0.156
Na1 0.000 0.000 0.502
Na2 0.000 0.500 0.999

Output
SG	Pmm2
energy above the most stable polymorph in this dataset	0.0	meV per atom

=====

The following is a DFT calculation (PBE-GGA) of Rb5Tl2Se5 after structural relaxation.

a = 4.705 Å, b = 8.135 Å, c = 12.941 Å
α = 105.49°, β = 90.00°, γ = 106.81°
Positions (direct):
Rb1 0.340 0.680 0.934
Rb2 0.237 0.475 0.636
Rb3 0.763 0.525 0.364
Rb4 0.500 0.000 0.500
Rb5 0.660 0.320 0.066
Se1 0.648 0.296 0.794
Se2 0.352 0.704 0.206
Se3 0.893 0.785 0.622
Se4 0.000 0.000 0.000
Se5 0.107 0.215 0.378
Tl1 0.964 0.929 0.203
Tl2 0.036 0.071 0.797

Output
SG	C2/m
energy relative to the elements, uncorrected	-0.83	eV per atom

=====

The following is a DFT calculation (PBE-GGA) of AcPrHgPd after structural relaxation.

a = 5.444 Å, b = 5.444 Å, c = 5.444 Å
α = 60.00°, β = 60.00°, γ = 60.00°
Positions (direct):
Pd1 0.000 0.000 0.000
Pr1 0.250 0.250 0.250
Ac1 0.750 0.750 0.750
Hg1 0.500 0.500 0.500

Output
SG	F-43m

=====

The following is a DFT calculation (PBE-GGA) of Na2NbPdO4 after structural relaxation.

a = 5.327 Å, b = 5.327 Å, c = 5.327 Å
α = 106.34°, β = 111.06°, γ = 111.06°
Each line ends with the local moment (μB).
Positions (direct):
O1 0.012 0.146 0.494  0.04
O2 0.988 0.482 0.135  0.04
O3 0.652 0.506 0.518  0.04
O4 0.348 0.865 0.854  0.04
Na1 0.500 0.750 0.250  0.00
Na2 0.000 0.000 0.000  0.00
Nb1 0.000 0.500 0.500  0.07
Pd1 0.500 0.250 0.750  0.60

Output
SG	I-4
energy relative to the elements, uncorrected	-1.69	eV per atom

=====

The following is a DFT calculation (PBE-GGA) of Tm12Ni6C after structural relaxation.

a = 7.707 Å, b = 7.707 Å, c = 7.707 Å
α = 97.99°, β = 97.99°, γ = 97.99°
Positions (direct):
Ni1 0.308 0.130 0.621
Ni2 0.130 0.621 0.308
Ni3 0.870 0.379 0.692
Ni4 0.621 0.308 0.130
Ni5 0.379 0.692 0.870
Ni6 0.692 0.870 0.379
Tm1 0.692 0.920 0.040
Tm2 0.308 0.080 0.960
Tm3 0.080 0.960 0.308
Tm4 0.180 0.414 0.581
Tm5 0.920 0.040 0.692
Tm6 0.586 0.419 0.820
Tm7 0.419 0.820 0.586
Tm8 0.820 0.586 0.419
Tm9 0.960 0.308 0.080
Tm10 0.040 0.692 0.920
Tm11 0.414 0.581 0.180
Tm12 0.581 0.180 0.414
C1 0.000 0.000 0.000

Output
SG	R-3

=====

The following is a DFT calculation (PBE-GGA) of Tb4CeRu5 after structural relaxation.

a = 3.425 Å, b = 3.425 Å, c = 17.091 Å
α = 90.00°, β = 90.00°, γ = 90.00°
Positions (direct):
Tb1 0.000 0.000 0.599
Tb2 0.000 0.000 0.203
Tb3 0.000 0.000 0.797
Tb4 0.000 0.000 0.401
Ru1 0.500 0.500 0.500
Ru2 0.500 0.500 0.299
Ru3 0.500 0.500 0.908
Ru4 0.500 0.500 0.701
Ru5 0.500 0.500 0.092
Ce1 0.000 0.000 0.000

Output
SG	P4/mmm

=====

The following is a DFT calculation (PBE-GGA) of HoMgP after structural relaxation.

a = 4.460 Å, b = 4.457 Å, c = 8.078 Å
α = 106.05°, β = 90.00°, γ = 120.02°
Positions (direct):
P1 0.241 0.482 0.224
P2 0.759 0.518 0.776
Ho1 0.378 0.755 0.634
Ho2 0.622 0.245 0.366
Mg1 0.873 0.745 0.118
Mg2 0.127 0.255 0.882

Output
SG	C2/m

=====

The following is a DFT calculation (PBE-GGA) of Ca5Ga5Ir2 after structural relaxation.

a = 4.283 Å, b = 8.011 Å, c = 9.013 Å
α = 85.21°, β = 76.25°, γ = 74.50°
Positions (direct):
Ir1 0.605 0.546 0.244
Ir2 0.395 0.454 0.756
Ga1 0.000 0.000 0.000
Ga2 0.940 0.303 0.817
Ga3 0.060 0.697 0.183
Ga4 0.285 0.763 0.667
Ga5 0.715 0.237 0.333
Ca1 0.628 0.070 0.673
Ca2 0.372 0.930 0.327
Ca3 0.697 0.682 0.924
Ca4 0.000 0.500 0.500
Ca5 0.303 0.318 0.076

Output
SG	C2/m

=====

The following is a DFT calculation (PBE-GGA) of Y4RuAu after structural relaxation.

a = 4.879 Å, b = 4.879 Å, c = 6.956 Å
α = 89.89°, β = 89.94°, γ = 90.00°
Positions (direct):
Y1 0.502 0.998 0.738
Y2 0.501 0.997 0.258
Y3 0.002 0.498 0.738
Y4 0.001 0.497 0.259
Au1 0.501 0.497 0.998
Ru1 0.001 0.997 0.498

Output
SG	C2/m
energy above the most stable polymorph in this dataset	112.4	meV per atom

=====

The following is a DFT calculation (PBE-GGA) of TlVCl2 after structural relaxation.

a = 8.189 Å, b = 8.189 Å, c = 6.549 Å
α = 51.31°, β = 51.31°, γ = 90.00°
Each line ends with the local moment (μB).
Positions (direct):
Cl1 0.515 0.125 0.250  0.01
Cl2 0.235 0.625 0.250  0.01
Cl3 0.375 0.485 0.750  0.01
Cl4 0.875 0.765 0.750  0.01
V1 0.250 0.750 0.500  2.75
V2 0.500 0.500 0.000  2.75
Tl1 0.750 0.250 0.500  0.08
Tl2 0.000 0.000 0.000  0.08

Output
SG	I-42d
energy relative to the elements, uncorrected	-0.55	eV per atom
energy above the most stable polymorph in this dataset	182.5	meV per atom

=====

The following is a DFT calculation (PBE-GGA) of CePmSm6Ho2 after structural relaxation.

a = 8.946 Å, b = 6.865 Å, c = 6.656 Å
α = 121.04°, β = 102.39°, γ = 90.00°
Each line ends with the local moment (μB).
Positions (direct):
Sm1 0.198 0.592 0.659  0.03
Sm2 0.584 0.372 0.743  0.04
Sm3 0.416 0.628 0.257  0.04
Sm4 0.802 0.932 0.341  0.03
Sm5 0.802 0.408 0.341  0.03
Sm6 0.198 0.068 0.659  0.03
Ho1 0.836 0.910 0.820  0.05
Ho2 0.164 0.090 0.180  0.05
Pm1 0.500 0.000 0.000  0.00
Ce1 0.000 0.500 0.000  0.79

Output
SG	C2/m

=====

The following is a DFT calculation (PBE-GGA) of SrCa2Mg3 after structural relaxation.

a = 4.065 Å, b = 4.065 Å, c = 11.950 Å
α = 90.00°, β = 90.00°, γ = 90.00°
Positions (direct):
Ca1 0.500 0.500 0.841
Ca2 0.500 0.500 0.159
Mg1 0.000 0.000 0.000
Mg2 0.000 0.000 0.684
Mg3 0.000 0.000 0.316
Sr1 0.500 0.500 0.500

Output
SG	P4/mmm

=====

The following is a DFT calculation (PBE-GGA) of LiOsRu after structural relaxation.

a = 4.982 Å, b = 4.982 Å, c = 4.982 Å
α = 146.04°, β = 146.04°, γ = 48.79°
Positions (direct):
Li1 0.002 0.002 0.000
Ru1 0.664 0.664 0.000
Os1 0.335 0.335 0.000

Output
SG	I4mm
energy above the most stable polymorph in this dataset	29.5	meV per atom

=====

The following is a DFT calculation (PBE-GGA) of Ce4ThPb2 after structural relaxation.

a = 6.285 Å, b = 6.285 Å, c = 7.944 Å
α = 126.28°, β = 126.28°, γ = 60.26°
Each line ends with the local moment (μB).
Positions (direct):
Ce1 0.500 0.000 0.000  0.33
Ce2 0.750 0.250 0.500  0.47
Ce3 0.000 0.500 0.000  0.33
Ce4 0.250 0.750 0.500  0.47
Th1 0.000 0.000 0.000  0.05
Pb1 0.642 0.642 0.285  -0.01
Pb2 0.358 0.358 0.715  -0.01

Output
SG	Fmmm

=====

The following is a DFT calculation (PBE-GGA) of Ti2Sn2I after structural relaxation.

a = 7.828 Å, b = 7.828 Å, c = 3.679 Å
α = 90.00°, β = 90.00°, γ = 90.00°
Positions (direct):
Sn1 0.133 0.633 0.500
Sn2 0.867 0.367 0.500
Sn3 0.633 0.867 0.500
Sn4 0.367 0.133 0.500
Ti1 0.161 0.339 0.000
Ti2 0.339 0.839 0.000
Ti3 0.839 0.661 0.000
Ti4 0.661 0.161 0.000
I1 0.000 0.000 0.000
I2 0.500 0.500 0.000

Output
SG	P4/mbm
energy relative to the elements, uncorrected	-0.06	eV per atom

=====

The following is a DFT calculation (PBE-GGA) of HgSb2Br after structural relaxation.

a = 8.426 Å, b = 8.426 Å, c = 8.426 Å
α = 29.06°, β = 29.06°, γ = 29.06°
Positions (direct):
Hg1 0.749 0.749 0.749
Sb1 0.263 0.263 0.263
Sb2 0.996 0.996 0.996
Br1 0.492 0.492 0.492

Output
SG	R3m
energy relative to the elements, uncorrected	-0.12	eV per atom
energy above the most stable polymorph in this dataset	0.0	meV per atom

=====

no.,total energy (eV per atom),ρ (Mg/m³)
1,-7.3203,8.95
2,-4.0315,6.68
3,-8.7237,10.38
4,-5.0058,9.76
5,-5.7812,4.46
6,-5.6082,4.12
7,-7.1391,9.50
8,-4.0135,3.33
9,-2.5378,5.98
10,-3.0765,4.49
11,-4.1296,9.83
12,-6.4047,4.42
13,-5.3940,8.96
14,-7.4176,10.61
15,-4.3823,5.55
16,-4.0351,5.36
17,-6.7756,6.55
18,-4.3420,5.28
19,-4.5695,7.43
20,-1.8153,2.02
21,-7.2888,12.89
22,-5.5391,10.09
23,-5.1308,6.78
24,-2.6747,6.97